1.
Density functional theory data (PBE) for a relaxed ReTc3B crystal. Values from VASP.

The structure in Quantum ESPRESSO input format:
```
&SYSTEM
  ibrav = 0, nat = 5, ntyp = 3
/
ATOMIC_SPECIES
Tc 98.00 Tc.upf
Re 186.21 Re.upf
B 10.81 B.upf
CELL_PARAMETERS angstrom
4.0723 0.0000 0.0000
0.0000 4.0723 0.0000
0.0000 0.0000 4.0723
ATOMIC_POSITIONS angstrom
Tc 2.0362 0.0000 0.0000
Re 2.0362 2.0362 2.0362
B 0.0000 0.0000 0.0000
Tc 0.0000 0.0000 2.0362
Tc 0.0000 2.0362 0.0000
```

## Properties
- calculated volume (Å³ per atom) = 13.507
- M_tot (μB per cell) = 0.00
- electronic total energy (eV/cell) = -49.57
- energy of formation (eV/f.u.) = 0.7
- excess energy over the best structure of this formula in the dataset (eV/atom) = 0.1201

---

2.
Density functional theory data (PBE) for a relaxed PmTmGeH crystal. Values from VASP.

The structure in Quantum ESPRESSO input format:
```
&SYSTEM
  ibrav = 0, nat = 8, ntyp = 4
/
ATOMIC_SPECIES
Tm 168.93 Tm.upf
Ge 72.64 Ge.upf
Pm 145.00 Pm.upf
H 1.01 H.upf
CELL_PARAMETERS angstrom
4.3852 0.0000 0.0000
0.0000 4.3852 0.0000
0.0000 0.0000 8.3468
ATOMIC_POSITIONS angstrom
Tm 0.0000 0.0000 0.0000
Ge 0.0000 2.1926 6.4104
Tm 2.1926 2.1926 0.0000
Pm 0.0000 2.1926 3.1113
H 2.1926 2.1926 4.1734
H 0.0000 0.0000 4.1734
Ge 2.1926 0.0000 1.9364
Pm 2.1926 0.0000 5.2355
```

## Properties
- calculated volume (Å³ per atom) = 20.064
- M_tot (μB per cell) = 0.00
- electronic total energy (eV/cell) = -39.43

---

> What is the calculated volume in the second record?

20.064 Å³ per atom